Record 1
# RbAlGe

An optimized crystal structure of RbAlGe (PBE, Alexandria).

```
12
Lattice="8.450 0.000 0.000 0.000 4.737 0.000 0.000 0.000 7.740" Properties=species:S:1:pos:R:3 pbc="T T T"
Rb 0.006 1.184 1.203
Rb 4.219 3.553 5.073
Rb 4.230 1.184 2.667
Rb 8.444 3.553 6.537
Al 1.265 1.184 4.518
Al 2.960 3.553 0.648
Al 5.489 1.184 7.091
Al 7.185 3.553 3.221
Ge 1.420 3.553 3.084
Ge 2.805 1.184 6.954
Ge 5.644 3.553 0.786
Ge 7.030 1.184 4.656
```

E in eV per formula unit: -9.3
DFT formation energy in eV per atom: 0.0123
Symmetry: Pnma (62)
Theoretical density in g cm⁻³: 3.97
M_tot in μB per formula unit: 0.000


Record 2
# Al3PtS

An optimized crystal structure of Al3PtS (PBE, Alexandria).

```
5
Lattice="4.761 0.000 0.000 0.000 4.761 0.000 0.000 0.000 4.761" Properties=species:S:1:pos:R:3 pbc="T T T"
Al 0.000 0.000 2.380
Al 0.000 2.380 0.000
Al 2.380 0.000 0.000
Pt 0.000 0.000 0.000
S 2.380 2.380 2.380
```

Raw formation energy in kJ per mole of atoms: -26.42
E in eV per formula unit: -22.8
Relative energy among the computed polymorphs in meV per atom: 0
Symmetry: Pm-3m (221)
Theoretical density in g cm⁻³: 4.74
M_tot in μB per formula unit: 0.000


Record 3
# La5PrSm4

An optimized crystal structure of La5PrSm4 (PBE, Alexandria).

```
10
Lattice="8.812 -1.838 0.000 8.812 1.838 0.000 -0.917 0.000 11.342" Properties=species:S:1:pos:R:3 pbc="T T T"
La 0.000 0.000 0.000
La 2.247 0.000 2.989
La 2.720 0.000 9.885
La 13.987 0.000 1.457
La 14.459 0.000 8.353
Pr -0.458 0.000 5.671
Sm 5.307 0.000 4.982
Sm 7.912 0.000 2.795
Sm 8.794 0.000 8.546
Sm 11.400 0.000 6.360
```

E in eV per formula unit: -47.1
Relative energy among the computed polymorphs in meV per atom: 99
DFT formation energy in eV per atom: 0.1185
Symmetry: C2/m (12)
Theoretical density in g cm⁻³: 6.49
M_tot in μB per formula unit: 0.000


Record 4
# HgBiAuN2

An optimized crystal structure of HgBiAuN2 (PBE, Alexandria).

```
5
Lattice="4.272 0.000 0.000 0.000 4.272 0.000 0.000 0.000 6.316" Properties=species:S:1:pos:R:3 pbc="T T T"
Hg 0.000 0.000 0.000
Bi 0.000 0.000 3.158
Au 2.136 2.136 3.158
N 0.000 2.136 0.000
N 2.136 0.000 0.000
```

Raw formation energy in kJ per mole of atoms: 177.84
E in eV per formula unit: -14.9
Symmetry: P4/mmm (123)
Theoretical density in g cm⁻³: 9.14
M_tot in μB per formula unit: 3.120


Record 5
# Pa5Fe2

An optimized crystal structure of Pa5Fe2 (PBE, Alexandria).

```
14
Lattice="7.795 -2.929 0.000 7.795 2.929 0.000 -0.764 0.000 6.601" Properties=species:S:1:pos:R:3 pbc="T T T"
Pa 3.148 0.679 2.189
Pa 7.222 2.306 4.951
Pa 6.252 0.590 0.549
Pa 2.766 -0.679 5.489
Pa 8.957 0.590 2.751
Pa 5.870 -0.590 3.850
Pa 12.060 0.679 1.112
Pa 8.575 -0.590 6.052
Pa 7.604 -2.306 1.650
Pa 11.678 -0.679 4.413
Fe 5.865 1.883 2.624
Fe 9.344 1.883 0.677
Fe 5.483 -1.883 5.925
Fe 8.962 -1.883 3.977
```

E in eV per formula unit: -65.5
DFT formation energy in eV per atom: -0.1548
Symmetry: C2/c (15)
Theoretical density in g cm⁻³: 13.96
M_tot in μB per formula unit: 0.000


Record 6
# NbVNiRu

An optimized crystal structure of NbVNiRu (PBE, Alexandria).

```
4
Lattice="0.000 3.066 3.066 3.066 0.000 3.066 3.066 3.066 0.000" Properties=species:S:1:pos:R:3 pbc="T T T"
Nb 0.000 0.000 0.000
V 3.066 3.066 3.066
Ni 1.533 1.533 1.533
Ru 4.599 4.599 4.599
```

E in eV per formula unit: -34.5
Relative energy among the computed polymorphs in meV per atom: 98
DFT formation energy in eV per atom: -0.0681
Symmetry: F-43m (216)
Theoretical density in g cm⁻³: 8.75
M_tot in μB per formula unit: 0.964


Record 7
# Sr3Nd2UAs6

An optimized crystal structure of Sr3Nd2UAs6 (PBE, Alexandria).

```
12
Lattice="3.731 -6.461 0.000 3.731 6.461 0.000 -2.500 0.000 7.164" Properties=species:S:1:pos:R:3 pbc="T T T"
Sr 0.000 0.000 0.000
Sr 3.731 2.211 0.000
Sr 3.731 -2.211 0.000
Nd 2.481 4.316 3.582
Nd 2.481 -4.316 3.582
U 2.481 0.000 3.582
As 1.322 2.017 1.996
As 0.166 0.000 5.162
As 1.322 -2.017 1.996
As 3.640 2.017 5.168
As 4.796 0.000 2.002
As 3.640 -2.017 5.168
```

E in eV per formula unit: -68.2
DFT formation energy in eV per atom: -1.2019
Symmetry: C2/m (12)
Theoretical density in g cm⁻³: 5.96
M_tot in μB per formula unit: 0.000


Record 8
# MnAg2Pt

An optimized crystal structure of MnAg2Pt (PBE, Alexandria).

```
4
Lattice="2.940 0.000 0.000 0.000 2.940 0.000 0.000 0.000 7.693" Properties=species:S:1:pos:R:3 pbc="T T T"
Mn 0.000 0.000 0.000
Ag 0.000 0.000 3.655
Ag 1.470 1.470 5.727
Pt 1.470 1.470 1.615
```

E in eV per formula unit: -21.1
Relative energy among the computed polymorphs in meV per atom: 5
DFT formation energy in eV per atom: -0.0406
Symmetry: P4mm (99)
Theoretical density in g cm⁻³: 11.63
M_tot in μB per formula unit: 4.321


Record 9
# HfTaAl4

An optimized crystal structure of HfTaAl4 (PBE, Alexandria).

```
6
Lattice="0.000 3.672 3.672 3.672 0.000 3.672 3.672 3.672 0.000" Properties=species:S:1:pos:R:3 pbc="T T T"
Hf 0.000 0.000 0.000
Ta 5.508 5.508 5.508
Al 2.753 2.753 2.753
Al 4.592 4.592 2.753
Al 4.592 2.753 4.592
Al 2.753 4.592 4.592
```

E in eV per formula unit: -38.7
DFT formation energy in eV per atom: -0.3154
Symmetry: F-43m (216)
Theoretical density in g cm⁻³: 7.84
M_tot in μB per formula unit: 0.000


Record 10
# Mn2CdMoP

An optimized crystal structure of Mn2CdMoP (PBE, Alexandria).

```
5
Lattice="4.548 0.000 0.000 0.000 4.548 0.000 0.000 0.000 5.286" Properties=species:S:1:pos:R:3 pbc="T T T"
Mn 0.000 2.274 0.000
Mn 2.274 0.000 0.000
Cd 0.000 0.000 2.643
Mo 0.000 0.000 0.000
P 2.274 2.274 2.643
```

E in eV per formula unit: -28.2
DFT formation energy in eV per atom: 1.4597
Symmetry: P4/mmm (123)
Theoretical density in g cm⁻³: 5.30
M_tot in μB per formula unit: 4.788


Record 11
# BiTeH

An optimized crystal structure of BiTeH (PBE, Alexandria).

```
3
Lattice="-2.196 2.196 4.482 2.196 -2.196 4.482 2.196 2.196 -4.482" Properties=species:S:1:pos:R:3 pbc="T T T"
Bi 0.000 0.000 0.000
Te 0.000 0.000 5.140
H 0.000 0.000 1.853
```

E in eV per formula unit: -9.9
Relative energy among the computed polymorphs in meV per atom: 220
Symmetry: I4mm (107)
Theoretical density in g cm⁻³: 6.49
M_tot in μB per formula unit: 0.000


Record 12
# Tm3Zn2PdRh3

An optimized crystal structure of Tm3Zn2PdRh3 (PBE, Alexandria).

```
9
Lattice="7.735 0.000 0.000 -3.867 6.699 0.000 0.000 0.000 3.146" Properties=species:S:1:pos:R:3 pbc="T T T"
Tm -2.748 4.761 0.000
Tm 1.119 1.938 0.000
Tm 5.497 0.000 0.000
Zn 0.000 4.466 0.000
Zn 3.867 2.233 0.000
Pd 0.000 0.000 1.573
Rh -1.523 2.638 1.573
Rh 3.046 0.000 1.573
Rh 2.345 4.061 1.573
```

E in eV per formula unit: -48.2
DFT formation energy in eV per atom: -0.5576
Symmetry: P-62m (189)
Theoretical density in g cm⁻³: 10.73
M_tot in μB per formula unit: 0.000


Record 13
# Ac6LaHg2

An optimized crystal structure of Ac6LaHg2 (PBE, Alexandria).

```
9
Lattice="6.933 -2.027 0.000 6.933 2.027 0.000 -4.183 0.000 12.532" Properties=species:S:1:pos:R:3 pbc="T T T"
Ac -0.976 0.000 4.125
Ac 3.847 0.000 1.549
Ac 2.659 0.000 5.140
Ac 7.023 0.000 7.392
Ac 5.835 0.000 10.983
Ac 10.658 0.000 8.407
La 0.000 0.000 0.000
Hg 1.566 0.000 10.158
Hg 8.117 0.000 2.374
```

E in eV per formula unit: -32.0
DFT formation energy in eV per atom: -0.1999
Symmetry: C2/m (12)
Theoretical density in g cm⁻³: 8.97
M_tot in μB per formula unit: 0.000


Record 14
# MgScBr2

An optimized crystal structure of MgScBr2 (PBE, Alexandria).

```
4
Lattice="3.457 0.000 0.000 0.000 3.457 0.000 0.000 0.000 9.034" Properties=species:S:1:pos:R:3 pbc="T T T"
Mg 0.000 0.000 0.000
Sc 1.729 1.729 2.275
Br 0.000 0.000 3.813
Br 1.729 1.729 7.556
```

Raw formation energy in kJ per mole of atoms: -87.34
E in eV per formula unit: -14.9
Relative energy among the computed polymorphs in meV per atom: 77
Symmetry: P4mm (99)
Theoretical density in g cm⁻³: 3.52
M_tot in μB per formula unit: 0.944


Record 15
# BaHF2

An optimized crystal structure of BaHF2 (PBE, Alexandria).

```
8
Lattice="-2.526 2.526 7.384 2.526 -2.526 7.384 2.526 2.526 -7.384" Properties=species:S:1:pos:R:3 pbc="T T T"
Ba 0.000 0.000 0.000
Ba 0.000 2.526 3.692
H 2.526 0.000 3.692
H 0.000 0.000 7.384
F 3.788 1.119 -1.846
F 1.119 1.263 1.846
F -1.263 1.407 5.538
F 1.407 1.263 9.229
```

E in eV per formula unit: -17.3
Relative energy among the computed polymorphs in meV per atom: 725
Symmetry: I-42d (122)
Theoretical density in g cm⁻³: 3.11
M_tot in μB per formula unit: 1.000


Record 16
# La4Pd3Cl

An optimized crystal structure of La4Pd3Cl (PBE, Alexandria).

```
8
Lattice="4.359 -6.089 0.000 4.359 6.089 0.000 0.000 0.000 4.247" Properties=species:S:1:pos:R:3 pbc="T T T"
La 2.062 0.000 2.124
La 4.359 3.159 0.000
La 4.359 -3.159 0.000
La 6.656 0.000 2.124
Pd 0.000 0.000 0.000
Pd 2.179 3.045 2.124
Pd 2.179 -3.045 2.124
Cl 4.359 0.000 0.000
```

Raw formation energy in kJ per mole of atoms: -94.03
E in eV per formula unit: -44.9
Symmetry: Cmmm (65)
Theoretical density in g cm⁻³: 6.70
M_tot in μB per formula unit: 0.000


Record 17
# NbGaRh2F

An optimized crystal structure of NbGaRh2F (PBE, Alexandria).

```
5
Lattice="4.287 0.000 0.000 0.000 4.287 0.000 0.000 0.000 4.164" Properties=species:S:1:pos:R:3 pbc="T T T"
Nb 0.000 0.000 0.000
Ga 2.144 2.144 0.000
Rh 0.000 2.144 2.082
Rh 2.144 0.000 2.082
F 2.144 2.144 2.082
```

Raw formation energy in kJ per mole of atoms: 13.14
E in eV per formula unit: -29.0
Symmetry: P4/mmm (123)
Theoretical density in g cm⁻³: 8.41
M_tot in μB per formula unit: 0.000


Record 18
# RbScRu3

An optimized crystal structure of RbScRu3 (PBE, Alexandria).

```
5
Lattice="4.696 0.000 0.000 0.000 4.696 0.000 0.000 0.000 4.696" Properties=species:S:1:pos:R:3 pbc="T T T"
Rb 0.000 0.000 0.000
Sc 2.348 2.348 2.348
Ru 0.000 0.000 2.348
Ru 0.000 2.348 0.000
Ru 2.348 0.000 0.000
```

E in eV per formula unit: -22.9
Relative energy among the computed polymorphs in meV per atom: 884
DFT formation energy in eV per atom: 2.4547
Symmetry: Pm-3m (221)
Theoretical density in g cm⁻³: 6.95
M_tot in μB per formula unit: 0.207


Record 19
# TlBRh3

An optimized crystal structure of TlBRh3 (PBE, Alexandria).

```
10
Lattice="5.741 -2.836 0.000 5.741 2.836 0.000 -1.685 0.000 4.567" Properties=species:S:1:pos:R:3 pbc="T T T"
Tl 1.512 0.000 0.538
Tl 8.285 0.000 4.030
B 5.198 0.000 1.409
B 4.599 0.000 3.159
Rh 3.590 1.441 1.820
Rh 2.674 0.000 4.030
Rh 6.208 1.441 2.747
Rh 3.590 -1.441 1.820
Rh 7.123 0.000 0.538
Rh 6.208 -1.441 2.747
```

E in eV per formula unit: -31.5
DFT formation energy in eV per atom: -0.0842
Symmetry: C2/m (12)
Theoretical density in g cm⁻³: 11.70
M_tot in μB per formula unit: 0.000


Record 20
# CaPmAlCu

An optimized crystal structure of CaPmAlCu (PBE, Alexandria).

```
4
Lattice="0.000 3.647 3.647 3.647 0.000 3.647 3.647 3.647 0.000" Properties=species:S:1:pos:R:3 pbc="T T T"
Ca 0.000 0.000 0.000
Pm 3.647 3.647 3.647
Al 1.823 1.823 1.823
Cu 5.470 5.470 5.470
```

E in eV per formula unit: -15.3
DFT formation energy in eV per atom: -0.1863
Symmetry: F-43m (216)
Theoretical density in g cm⁻³: 4.72
M_tot in μB per formula unit: 0.000


Record 21
# SmPaPt2

An optimized crystal structure of SmPaPt2 (PBE, Alexandria).

```
4
Lattice="2.394 1.382 4.703 -2.394 1.382 4.703 0.000 -2.764 4.703" Properties=species:S:1:pos:R:3 pbc="T T T"
Sm 0.000 0.000 0.000
Pa 0.000 0.000 7.054
Pt 0.000 0.000 3.129
Pt 0.000 0.000 10.980
```

E in eV per formula unit: -29.9
Relative energy among the computed polymorphs in meV per atom: 175
DFT formation energy in eV per atom: -0.8958
Symmetry: R-3m (166)
Theoretical density in g cm⁻³: 13.72
M_tot in μB per formula unit: 0.003


Record 22
# SrLa

An optimized crystal structure of SrLa (PBE, Alexandria).

```
4
Lattice="1.876 -7.774 0.000 1.876 7.774 0.000 0.000 0.000 5.974" Properties=species:S:1:pos:R:3 pbc="T T T"
Sr 1.876 6.715 4.480
Sr 1.876 -6.715 1.493
La 1.876 3.008 4.480
La 1.876 -3.008 1.493
```

E in eV per formula unit: -6.3
Relative energy among the computed polymorphs in meV per atom: 106
DFT formation energy in eV per atom: 0.1675
Symmetry: Cmcm (63)
Theoretical density in g cm⁻³: 4.32
M_tot in μB per formula unit: 0.000


Record 23
# LiPrPt

An optimized crystal structure of LiPrPt (PBE, Alexandria).

```
3
Lattice="0.000 3.369 3.369 3.369 0.000 3.369 3.369 3.369 0.000" Properties=species:S:1:pos:R:3 pbc="T T T"
Li 0.000 0.000 0.000
Pr 3.369 3.369 3.369
Pt 1.684 1.684 1.684
```

E in eV per formula unit: -14.6
Relative energy among the computed polymorphs in meV per atom: 171
DFT formation energy in eV per atom: -0.6258
Symmetry: F-43m (216)
Theoretical density in g cm⁻³: 7.45
M_tot in μB per formula unit: 0.000


Record 24
# HfPbAu2

An optimized crystal structure of HfPbAu2 (PBE, Alexandria).

```
4
Lattice="3.353 0.000 0.000 0.000 3.353 0.000 0.000 0.000 7.873" Properties=species:S:1:pos:R:3 pbc="T T T"
Hf 0.000 0.000 0.000
Pb 0.000 0.000 3.936
Au 1.677 1.677 1.657
Au 1.677 1.677 6.216
```

E in eV per formula unit: -21.4
DFT formation energy in eV per atom: -0.2987
Symmetry: P4/mmm (123)
Theoretical density in g cm⁻³: 14.62
M_tot in μB per formula unit: 0.175


Record 25
# La6Pm8Cd

An optimized crystal structure of La6Pm8Cd (PBE, Alexandria).

```
15
Lattice="9.656 0.000 0.000 -4.828 8.362 0.000 0.000 0.000 6.564" Properties=species:S:1:pos:R:3 pbc="T T T"
La -1.294 3.767 1.180
La -0.919 7.599 1.180
La 2.615 3.004 5.383
La 2.213 5.358 1.180
La 5.747 0.763 5.383
La 6.122 4.595 5.383
Pm -0.857 2.201 4.512
Pm -2.493 8.004 4.512
Pm 1.477 1.843 2.051
Pm 0.000 5.575 4.315
Pm 4.828 2.787 2.249
Pm 3.351 6.519 4.512
Pm 7.321 0.358 2.051
Pm 5.685 6.161 2.051
Cd 0.000 0.000 0.000
```

E in eV per formula unit: -67.5
DFT formation energy in eV per atom: 0.0641
Symmetry: P-3 (147)
Theoretical density in g cm⁻³: 6.60
M_tot in μB per formula unit: 0.000


Record 26
# FeNiS2

An optimized crystal structure of FeNiS2 (PBE, Alexandria).

```
8
Lattice="-2.503 2.503 4.984 2.503 -2.503 4.984 2.503 2.503 -4.984" Properties=species:S:1:pos:R:3 pbc="T T T"
Fe 0.000 0.000 0.000
Fe 0.000 2.503 2.492
Ni 2.503 0.000 2.492
Ni 0.000 0.000 4.984
S 3.754 1.195 -1.246
S 1.195 1.251 1.246
S -1.251 1.307 3.738
S 1.307 1.251 6.230
```

Raw formation energy in kJ per mole of atoms: -32.63
E in eV per formula unit: -23.9
Symmetry: I-42d (122)
Theoretical density in g cm⁻³: 4.75
M_tot in μB per formula unit: 0.000